Entry 1:
Here is KTa2O6 after structural relaxation from the Alexandria database. Energies are from PBE.

Excess energy over the best structure of this formula in the dataset: 0.066 eV per formula unit
ρ: 5.41 g/cm3
Magnetization: 4.3 Bohr magnetons per cell

a = 7.5529 Å, b = 7.6057 Å, c = 10.6212 Å
α = 90.00°, β = 90.00°, γ = 90.00°
With the nearest neighbours (Å) after each atom.
Space group Imma (No. 74)
Unique sites:
K: 0.0000 0.0000 0.0000  6 O 2.75-2.76
Ta: 0.0000 0.0000 0.5000  6 O 1.99-2.00
Ta: 0.2500 0.2500 0.2500  6 O 1.99-2.00
O: 0.0000 0.2500 0.1877  2 Ta 2.00
O: 0.0000 0.2500 0.5582  2 Ta 2.00
O: 0.1868 0.0671 0.3767  2 Ta 1.99

***

Entry 2:
Here is TaTcO2 after structural relaxation from the Alexandria database. Energies are from PBE.

Excess energy over the best structure of this formula in the dataset: 0.000 eV per formula unit
ρ: 11.08 g/cm3
Magnetization: 0.0 Bohr magnetons per cell

a = 2.7878 Å, b = 2.7878 Å, c = 20.7724 Å
α = 90.00°, β = 90.00°, γ = 120.00°
With the nearest neighbours (Å) after each atom.
Space group R-3m (No. 166, hexagonal axes)
Unique sites:
Ta: 0.0000 0.0000 0.0000  6 O 2.14
Tc: 0.0000 0.0000 0.5000  2 O 2.04
O: 0.0000 0.0000 0.4016  1 Tc 2.04, 3 Ta 2.14

***

Entry 3:
Here is CoPSCl2 after structural relaxation from the Alexandria database. Energies are from PBE.

Excess energy over the best structure of this formula in the dataset: 0.000 eV per formula unit
ρ: 3.57 g/cm3
Magnetization: 0.0 Bohr magnetons per cell

a = 4.4373 Å, b = 4.4373 Å, c = 4.5570 Å
α = 90.00°, β = 90.00°, γ = 90.00°
With the nearest neighbours (Å) after each atom.
Space group P4/mmm (No. 123)
Unique sites:
Co: 0.0000 0.0000 0.0000  4 Cl 2.22, 2 S 2.28
P: 0.5000 0.5000 0.5000  4 S 3.14, 8 Cl 3.18
S: 0.0000 0.0000 0.5000  2 Co 2.28
Cl: 0.0000 0.5000 0.0000  2 Co 2.22

***

Entry 4:
Here is Cs2Ba2Ca after structural relaxation from the Alexandria database. Energies are from PBE.

Formation enthalpy at 0 K: 310 meV per atom
ρ: 2.41 g/cm3
Magnetization: 0.0 Bohr magnetons per cell

a = 10.2374 Å, b = 10.2374 Å, c = 7.6322 Å
α = 90.00°, β = 90.00°, γ = 90.00°
With the nearest neighbours (Å) after each atom.
Space group P4/mbm (No. 127)
Unique sites:
Cs: 0.1757 0.3243 0.0000  6 Ba 4.61-5.05, 1 Cs 5.09
Ba: 0.1455 0.6455 0.5000  2 Ca 3.92, 1 Ba 4.21
Ca: 0.0000 0.0000 0.5000  4 Ba 3.92

***

Entry 5:
Here is Sm2HoPu3Te6 after structural relaxation from the Alexandria database. Energies are from PBE.

DFT total energy: -7.5600 eV per atom
ρ: 8.90 g/cm3
Magnetization: 35.7 Bohr magnetons per cell

a = 19.3186 Å, b = 4.4018 Å, c = 8.8716 Å
α = 90.00°, β = 103.93°, γ = 90.00°
With the nearest neighbours (Å) after each atom.
Space group C2/m (No. 12)
Unique sites:
Sm: 0.1673 0.0000 0.3353  6 Te 3.13-3.16
Ho: 0.0000 0.5000 0.0000  6 Te 3.08-3.09
Pu: 0.0000 0.5000 0.5000  6 Te 3.11-3.16
Pu: 0.1684 0.0000 0.8342  6 Te 3.11-3.14
Te: 0.0010 0.0000 0.7555  2 Ho 3.09, 3 Pu 3.14-3.16, 1 Sm 3.16
Te: 0.1642 0.5000 0.0813  1 Ho 3.08, 3 Pu 3.12-3.14, 2 Sm 3.14
Te: 0.1659 0.5000 0.5853  3 Pu 3.11, 3 Sm 3.13

***

Entry 6:
Here is PuFe4B4 after structural relaxation from the Alexandria database. Energies are from PBE.

Formation enthalpy at 0 K: -401 meV per atom
ρ: 9.20 g/cm3
Magnetization: 6.9 Bohr magnetons per cell

a = 6.9394 Å, b = 6.9394 Å, c = 3.8280 Å
α = 90.00°, β = 90.00°, γ = 90.00°
With the nearest neighbours (Å) after each atom.
Space group P4_2/n (No. 86, origin choice 2)
Unique sites:
Pu: 0.2500 0.2500 0.2500  8 B 2.75-2.80, 4 Fe 2.83
Fe: 0.1196 0.6318 0.1421  4 B 2.01-2.06
B: 0.0483 0.9148 0.1438  1 B 1.75

***

Entry 7:
Here is PmEr after structural relaxation from the Alexandria database. Energies are from PBE.

Excess energy over the best structure of this formula in the dataset: 0.075 eV per formula unit
Formation enthalpy at 0 K: 55 meV per atom
ρ: 7.97 g/cm3
Magnetization: 0.0 Bohr magnetons per cell

a = 3.5451 Å, b = 5.5958 Å, c = 6.7909 Å
α = 90.00°, β = 105.05°, γ = 90.00°
With the nearest neighbours (Å) after each atom.
Space group P2_1/m (No. 11)
Unique sites:
Pm: 0.0620 0.2500 0.1249  4 Pm 3.24-3.55, 3 Er 3.40-3.63
Er: 0.3221 0.2500 0.6427  7 Pm 3.40-3.65, 4 Er 3.55-3.80

***

Entry 8:
Here is KZrTlTe3 after structural relaxation from the Alexandria database. Energies are from PBE.

DFT total energy: -4.3210 eV per atom
ρ: 4.82 g/cm3
Magnetization: 0.0 Bohr magnetons per cell

a = 8.3070 Å, b = 16.4981 Å, c = 7.4609 Å
α = 90.00°, β = 104.60°, γ = 90.00°
With the nearest neighbours (Å) after each atom.
Space group C2/c (No. 15)
Unique sites:
K: 0.0000 0.2329 0.2500  4 Te 3.74-3.82
Zr: 0.0000 0.0489 0.7500  5 Te 2.76-2.93
Tl: 0.0000 0.4163 0.7500  5 Te 3.30-3.36
Te: 0.0000 0.2164 0.7500  1 Zr 2.76
Te: 0.2267 0.0492 0.5055  2 Zr 2.83-2.93

***

Entry 9:
Here is Ac2NpZnRh6 after structural relaxation from the Alexandria database. Energies are from PBE.

Formation enthalpy at 0 K: -321 meV per atom
ρ: 10.30 g/cm3
Magnetization: 4.0 Bohr magnetons per cell

a = 5.8167 Å, b = 5.8167 Å, c = 22.6771 Å
α = 90.00°, β = 90.00°, γ = 120.00°
With the nearest neighbours (Å) after each atom.
Space group R-3m (No. 166, hexagonal axes)
Unique sites:
Ac: 0.0000 0.0000 0.2153  6 Rh 3.04
Np: 0.0000 0.0000 0.0000  6 Rh 2.48
Zn: 0.0000 0.0000 0.5000  6 Rh 2.58
Rh: 0.0056 0.5028 0.2543  1 Np 2.48, 1 Zn 2.58

***

Entry 10:
Here is La2In6CoPd after structural relaxation from the Alexandria database. Energies are from PBE.

Formation enthalpy at 0 K: -269 meV per atom
ρ: 7.29 g/cm3
Magnetization: 0.0 Bohr magnetons per cell

a = 10.1046 Å, b = 10.1046 Å, c = 10.1046 Å
α = 90.00°, β = 90.00°, γ = 90.00°
With the nearest neighbours (Å) after each atom.
Space group Fm-3m (No. 225)
Unique sites:
La: 0.2500 0.2500 0.2500  12 In 3.57
In: 0.0000 0.0000 0.2434  1 Co 2.46, 1 Pd 2.59
Co: 0.0000 0.0000 0.0000  6 In 2.46
Pd: 0.0000 0.0000 0.5000  6 In 2.59

***

Entry 11:
Here is V2Os after structural relaxation from the Alexandria database. Energies are from PBE.

Formation enthalpy at 0 K: -28 meV per atom
ρ: 12.05 g/cm3
Magnetization: 0.0 Bohr magnetons per cell

a = 6.8544 Å, b = 6.8544 Å, c = 6.8544 Å
α = 90.00°, β = 90.00°, γ = 90.00°
With the nearest neighbours (Å) after each atom.
Space group Fd-3m (No. 227, origin choice 2)
Unique sites:
V: 0.0000 0.0000 0.0000  6 V 2.42
Os: 0.1250 0.1250 0.6250  12 V 2.84, 4 Os 2.97

***

Entry 12:
Here is LaCePrAg after structural relaxation from the Alexandria database. Energies are from PBE.

Formation enthalpy at 0 K: 114 meV per atom
ρ: 7.71 g/cm3
Magnetization: 9.1 Bohr magnetons per cell

a = 7.6902 Å, b = 7.6902 Å, c = 7.6902 Å
α = 90.00°, β = 90.00°, γ = 90.00°
With the nearest neighbours (Å) after each atom.
Space group F-43m (No. 216)
Unique sites:
La: 0.0000 0.0000 0.0000  4 Ce 3.33, 4 Ag 3.33
Ce: 0.2500 0.2500 0.2500  4 Pr 3.33, 4 La 3.33
Pr: 0.0000 0.0000 0.5000  4 Ce 3.33, 4 Ag 3.33
Ag: 0.2500 0.2500 0.7500  4 La 3.33, 4 Pr 3.33

***

Entry 13:
Here is Ce3PmTm2S6 after structural relaxation from the Alexandria database. Energies are from PBE.

DFT total energy: -6.7017 eV per atom
ρ: 6.86 g/cm3
Magnetization: 5.0 Bohr magnetons per cell

a = 6.8406 Å, b = 11.8563 Å, c = 6.9268 Å
α = 90.00°, β = 109.27°, γ = 90.00°
With the nearest neighbours (Å) after each atom.
Space group C2/m (No. 12)
Unique sites:
Ce: 0.0000 0.0000 0.0000  6 S 2.81-2.88
Ce: 0.0000 0.3371 0.0000  6 S 2.82-2.88
Pm: 0.0000 0.5000 0.5000  6 S 2.81-2.82
Tm: 0.0000 0.1670 0.5000  6 S 2.73-2.74
S: 0.2348 0.0000 0.7350  2 Tm 2.73, 1 Pm 2.81, 3 Ce 2.81-2.86
S: 0.2486 0.1717 0.2610  2 Tm 2.73-2.74, 1 Pm 2.82, 3 Ce 2.82-2.88

***

Entry 14:
Here is AcThPaO6 after structural relaxation from the Alexandria database. Energies are from PBE.

DFT total energy: -9.2464 eV per atom
ρ: 8.18 g/cm3
Magnetization: 0.0 Bohr magnetons per cell

a = 5.3336 Å, b = 5.3336 Å, c = 11.2254 Å
α = 90.00°, β = 90.00°, γ = 90.00°
With the nearest neighbours (Å) after each atom.
Space group P4_2nm (No. 102)
Unique sites:
Ac: 0.0000 0.0000 0.0000  6 O 2.47-2.53
Th: 0.0000 0.0000 0.3329  6 O 2.34-2.35
Pa: 0.0000 0.0000 0.6664  6 O 2.21
O: 0.1729 0.1729 0.5069  1 Pa 2.21, 1 Th 2.35, 1 Ac 2.47
O: 0.1907 0.1907 0.8153  1 Pa 2.21, 1 Th 2.34
O: 0.2070 0.2070 0.1771  1 Pa 2.21, 1 Th 2.34

***

Entry 15:
Here is AlAg2Te after structural relaxation from the Alexandria database. Energies are from PBE.

Excess energy over the best structure of this formula in the dataset: 0.337 eV per formula unit
ρ: 7.32 g/cm3
Magnetization: 0.0 Bohr magnetons per cell

a = 3.2887 Å, b = 3.2887 Å, c = 26.9218 Å
α = 90.00°, β = 90.00°, γ = 120.00°
With the nearest neighbours (Å) after each atom.
Space group R-3m (No. 166, hexagonal axes)
Unique sites:
Al: 0.0000 0.0000 0.0000  6 Ag 2.72
Ag: 0.0000 0.0000 0.2611  3 Al 2.72
Te: 0.0000 0.0000 0.5000  6 Ag 3.17, 6 Te 3.29

***

Entry 16:
Here is Ba2IrF8 after structural relaxation from the Alexandria database. Energies are from PBE.

DFT total energy: -5.3329 eV per atom
ρ: 4.96 g/cm3
Magnetization: 2.0 Bohr magnetons per cell

a = 10.8452 Å, b = 8.1115 Å, c = 5.0105 Å
α = 90.00°, β = 109.82°, γ = 90.00°
With the nearest neighbours (Å) after each atom.
Space group C2/m (No. 12)
Unique sites:
Ba: 0.1634 0.0000 0.3588  8 F 2.58-2.86
Ir: 0.0000 0.5000 0.0000  6 F 1.93-2.00
F: 0.0894 0.0000 0.8062  3 Ba 2.58-2.62
F: 0.1111 0.5000 0.7695  1 Ir 1.93
F: 0.1194 0.3316 0.2463  1 Ir 2.00

***

Entry 17:
Here is CdW2Se after structural relaxation from the Alexandria database. Energies are from PBE.

Excess energy over the best structure of this formula in the dataset: 2.791 eV per formula unit
ρ: 13.07 g/cm3
Magnetization: 0.0 Bohr magnetons per cell

a = 5.5130 Å, b = 8.8922 Å, c = 2.8981 Å
α = 90.00°, β = 90.00°, γ = 90.00°
With the nearest neighbours (Å) after each atom.
Space group Cmmm (No. 65)
Unique sites:
Cd: 0.0000 0.0000 0.0000  2 Se 2.76, 2 Cd 2.90, 8 W 2.99
W: 0.2500 0.2500 0.5000  4 W 2.76-2.90, 4 Cd 2.99, 4 Se 2.99
Se: 0.0000 0.5000 0.0000  2 Cd 2.76, 2 Se 2.90, 8 W 2.99

***

Entry 18:
Here is Rb3YMg after structural relaxation from the Alexandria database. Energies are from PBE.

Excess energy over the best structure of this formula in the dataset: 0.843 eV per formula unit
Formation enthalpy at 0 K: 962 meV per atom
ρ: 1.45 g/cm3
Magnetization: 4.0 Bohr magnetons per cell

a = 7.5121 Å, b = 7.5121 Å, c = 7.5121 Å
α = 90.00°, β = 90.00°, γ = 90.00°
With the nearest neighbours (Å) after each atom.
Space group Pm-3m (No. 221)
Unique sites:
Rb: 0.0000 0.0000 0.5000  2 Y 3.76
Y: 0.0000 0.0000 0.0000  6 Rb 3.76
Mg: 0.5000 0.5000 0.5000  12 Rb 5.31